# 1
Computed, not measured: a relaxed structure of NaNdCdBr6 at the GGA-PBE level of DFT.

Lattice parameters (Å, degrees): 7.280 7.280 13.402 90.00 90.00 120.00
Fractional positions:
Br1 0.644 0.653 0.629
Br2 0.347 0.356 0.871
Br3 0.356 0.347 0.371
Br4 0.347 0.991 0.629
Br5 0.009 0.653 0.871
Br6 0.991 0.347 0.129
Br7 0.644 0.991 0.871
Br8 0.009 0.356 0.629
Br9 0.991 0.644 0.371
Br10 0.356 0.009 0.129
Br11 0.653 0.009 0.371
Br12 0.653 0.644 0.129
Na1 0.000 0.000 0.000
Na2 0.000 0.000 0.500
Cd1 0.333 0.667 0.750
Cd2 0.667 0.333 0.250
Nd1 0.667 0.333 0.750
Nd2 0.333 0.667 0.250

Values from the calculation:
Formation energy (no corrections) ... -1.45 eV per atom
Spin magnetization ... 0.00 Bohr magnetons per cell

***

# 2
Computed, not measured: a relaxed structure of NaNpCdBr6 at the GGA-PBE level of DFT.

Lattice parameters (Å, degrees): 7.283 7.283 13.400 90.00 90.00 120.00
Fractional positions:
Na1 0.000 0.000 0.500
Na2 0.000 0.000 0.000
Br1 0.355 0.347 0.370
Br2 0.653 0.645 0.130
Br3 0.008 0.653 0.870
Br4 0.992 0.645 0.370
Br5 0.992 0.347 0.130
Br6 0.008 0.355 0.630
Br7 0.645 0.992 0.870
Br8 0.347 0.355 0.870
Br9 0.347 0.992 0.630
Br10 0.355 0.008 0.130
Br11 0.653 0.008 0.370
Br12 0.645 0.653 0.630
Np1 0.667 0.333 0.750
Np2 0.333 0.667 0.250
Cd1 0.333 0.667 0.750
Cd2 0.667 0.333 0.250

Values from the calculation:
Formation energy (no corrections) ... -1.19 eV per atom
Spin magnetization ... 8.00 Bohr magnetons per cell

***

# 3
Computed, not measured: a relaxed structure of NaCdBrO at the GGA-PBE level of DFT.

Lattice parameters (Å, degrees): 3.654 3.654 6.874 74.59 74.59 60.00
Fractional positions:
Br1 0.354 0.354 0.938
O1 0.866 0.866 0.403
Cd1 0.582 0.582 0.254
Na1 0.128 0.128 0.616

Values from the calculation:
Formation energy (no corrections) ... -1.14 eV per atom
Spin magnetization ... 0.00 Bohr magnetons per cell

***

# 4
Computed, not measured: a relaxed structure of Na2CdPbBr6 at the GGA-PBE level of DFT.

Lattice parameters (Å, degrees): 7.456 7.456 7.970 62.10 62.09 59.98
Fractional positions:
Br1 0.588 0.226 0.246
Br2 0.709 0.116 0.763
Br3 0.226 0.941 0.245
Br4 0.116 0.413 0.763
Br5 0.941 0.588 0.246
Br6 0.413 0.708 0.762
Na1 0.518 0.518 0.446
Na2 0.014 0.014 0.958
Pb1 0.817 0.818 0.547
Cd1 0.320 0.320 0.040

Values from the calculation:
Formation energy (no corrections) ... -1.13 eV per atom
Spin magnetization ... 0.00 Bohr magnetons per cell

***

# 5
Computed, not measured: a relaxed structure of NaCdPbBr6 at the GGA-PBE level of DFT.

Lattice parameters (Å, degrees): 6.461 7.202 7.202 120.00 90.00 90.00
Fractional positions:
Br1 0.250 0.320 0.320
Br2 0.250 0.680 0.000
Br3 0.250 0.000 0.680
Br4 0.750 0.320 0.000
Br5 0.750 0.680 0.680
Br6 0.750 0.000 0.320
Cd1 0.500 0.000 0.000
Na1 0.500 0.667 0.333
Pb1 0.000 0.333 0.667

Values from the calculation:
Formation energy (no corrections) ... -0.83 eV per atom
Spin magnetization ... 0.00 Bohr magnetons per cell

***

# 6
Computed, not measured: a relaxed structure of NaCd2PbBr8 at the GGA-PBE level of DFT.

Lattice parameters (Å, degrees): 8.344 8.344 8.344 107.38 107.38 113.75
Fractional positions:
Br1 0.892 0.703 0.189
Br2 0.297 0.108 0.811
Br3 0.745 0.053 0.693
Br4 0.947 0.640 0.693
Br5 0.360 0.053 0.307
Br6 0.297 0.486 0.189
Br7 0.514 0.703 0.811
Br8 0.947 0.255 0.307
Cd1 0.500 0.500 0.000
Cd2 0.750 0.250 0.500
Pb1 0.000 0.000 0.000
Na1 0.250 0.750 0.500

Values from the calculation:
Formation energy (no corrections) ... -0.78 eV per atom
Spin magnetization ... 0.00 Bohr magnetons per cell

***

# 7
Computed, not measured: a relaxed structure of NaPmCdBr6 at the GGA-PBE level of DFT.

Lattice parameters (Å, degrees): 7.256 7.256 13.402 90.00 90.00 120.00
Fractional positions:
Br1 0.349 0.356 0.371
Br2 0.644 0.993 0.371
Br3 0.651 0.007 0.871
Br4 0.349 0.993 0.129
Br5 0.356 0.349 0.871
Br6 0.993 0.349 0.629
Br7 0.651 0.644 0.629
Br8 0.993 0.644 0.871
Br9 0.356 0.007 0.629
Br10 0.644 0.651 0.129
Br11 0.007 0.651 0.371
Br12 0.007 0.356 0.129
Na1 0.000 0.000 0.500
Na2 0.000 0.000 0.000
Cd1 0.333 0.667 0.250
Cd2 0.667 0.333 0.750
Pm1 0.333 0.667 0.750
Pm2 0.667 0.333 0.250

Values from the calculation:
Formation energy (no corrections) ... -1.45 eV per atom
Spin magnetization ... 0.00 Bohr magnetons per cell

***

# 8
Computed, not measured: a relaxed structure of NaPrCdBr6 at the GGA-PBE level of DFT.

Lattice parameters (Å, degrees): 7.309 7.309 13.398 90.00 90.00 120.00
Fractional positions:
Br1 0.989 0.643 0.372
Br2 0.345 0.989 0.628
Br3 0.357 0.345 0.372
Br4 0.655 0.643 0.128
Br5 0.357 0.011 0.128
Br6 0.011 0.655 0.872
Br7 0.011 0.357 0.628
Br8 0.655 0.011 0.372
Br9 0.643 0.655 0.628
Br10 0.345 0.357 0.872
Br11 0.989 0.345 0.128
Br12 0.643 0.989 0.872
Na1 0.000 0.000 0.500
Na2 0.000 0.000 0.000
Pr1 0.333 0.667 0.250
Pr2 0.667 0.333 0.750
Cd1 0.667 0.333 0.250
Cd2 0.333 0.667 0.750

Values from the calculation:
Formation energy (no corrections) ... -1.44 eV per atom
Spin magnetization ... 0.00 Bohr magnetons per cell

***

Repeat the second record exactly.
Computed, not measured: a relaxed structure of NaNpCdBr6 at the GGA-PBE level of DFT.

Lattice parameters (Å, degrees): 7.283 7.283 13.400 90.00 90.00 120.00
Fractional positions:
Na1 0.000 0.000 0.500
Na2 0.000 0.000 0.000
Br1 0.355 0.347 0.370
Br2 0.653 0.645 0.130
Br3 0.008 0.653 0.870
Br4 0.992 0.645 0.370
Br5 0.992 0.347 0.130
Br6 0.008 0.355 0.630
Br7 0.645 0.992 0.870
Br8 0.347 0.355 0.870
Br9 0.347 0.992 0.630
Br10 0.355 0.008 0.130
Br11 0.653 0.008 0.370
Br12 0.645 0.653 0.630
Np1 0.667 0.333 0.750
Np2 0.333 0.667 0.250
Cd1 0.333 0.667 0.750
Cd2 0.667 0.333 0.250

Values from the calculation:
Formation energy (no corrections) ... -1.19 eV per atom
Spin magnetization ... 8.00 Bohr magnetons per cell